Entry A
Compound: LaVAs3
Source: Alexandria via LeMat-Bulk
Functional: PBE
Structure: relaxed

Unit cell a=5.5711 b=5.5711 c=5.5711 alpha=90.00 beta=90.00 gamma=90.00
Space group Pm-3m (No. 221)
Symmetry-distinct sites (fractional):
La  0.0000  0.0000  0.0000 (multiplicity 1)
V  0.5000  0.5000  0.5000 (multiplicity 1)
As  0.0000  0.0000  0.5000 (multiplicity 3)

Spin magnetization: 0.527 μB per atom


Entry B
Compound: LaVAs3
Source: Alexandria via LeMat-Bulk
Functional: PBE
Structure: relaxed

Unit cell a=4.8135 b=4.8135 c=4.8135 alpha=90.00 beta=90.00 gamma=90.00
Space group Pm-3m (No. 221)
Symmetry-distinct sites (fractional):
La  0.0000  0.0000  0.0000 (multiplicity 1)
V  0.5000  0.5000  0.5000 (multiplicity 1)
As  0.0000  0.5000  0.5000 (multiplicity 3)

Spin magnetization: 0.000 μB per atom


Result of the stability comparison: entry A is the least stable of them.


Entry A
Compound: La2VAs2
Source: Alexandria via LeMat-Bulk
Functional: PBE
Structure: relaxed

Unit cell a=7.6003 b=7.6003 c=4.2810 alpha=90.00 beta=90.00 gamma=90.00
Space group P4/mbm (No. 127)
Symmetry-distinct sites (fractional):
La  0.1559  0.3441  0.0000 (multiplicity 4)
V  0.0000  0.0000  0.5000 (multiplicity 2)
As  0.1574  0.6574  0.5000 (multiplicity 4)

Spin magnetization: 0.618 μB per atom


Entry B
Compound: La2VAs2
Source: Alexandria via LeMat-Bulk
Functional: PBE
Structure: relaxed

Unit cell a=3.8816 b=3.8816 c=17.7706 alpha=90.00 beta=90.00 gamma=90.00
Space group I4/mmm (No. 139)
Symmetry-distinct sites (fractional):
La  0.0000  0.0000  0.1101 (multiplicity 4)
V  0.0000  0.0000  0.5000 (multiplicity 2)
As  0.0000  0.5000  0.2500 (multiplicity 4)

Spin magnetization: 0.811 μB per atom


Result of the stability comparison: entry B is the least stable of them.